An optimized crystal structure of KV2S. Source: the Alexandria database, functional PBE.

Its uncorrected formation energy is 0.452 eV per atom. The crystal system is tetragonal.

Cell: 4.4522 4.4522 17.5806 Å, 90.00 90.00 90.00°
Space group I-42d (No. 122)
Symmetry-distinct sites (fractional):
K: 0.0000 0.0000 0.0000 x4
V: 0.0094 0.2500 0.6250 x8
S: 0.0000 0.0000 0.5000 x4

An optimized crystal structure of YMg2Os. Source: the Alexandria database, functional PBE.

The calculation puts the offset from the most stable computed form at 0.166 eV per atom. The value obtained for the formation energy is 0.15 eV per atom. The crystal system is monoclinic.

Cell: 3.0468 4.7841 5.7083 Å, 90.00 105.24 90.00°
Space group P2/m (No. 10)
Symmetry-distinct sites (fractional):
Y: 0.0000 0.0000 0.0000 x1
Mg: 0.3238 0.5000 0.7172 x2
Os: 0.5000 0.0000 0.5000 x1

| no. | size of the total moment (μB per cell) | mass density (g/cm³) | E_tot (eV/cell) |
| --- | --- | --- | --- |
| 1 | 6.23 | 3.30 | -86.62 |
| 2 | 0.22 | 6.78 | -20.28 |